Record 1
The following is a DFT calculation (PBE) of a geometry-optimized BaInNiBi2 structure.

The space group is P4/mmm (No. 123) and the conventional cell measures 5.450, 5.450 and 5.068 Å, with angles of 90.00, 90.00 and 90.00 degrees. The asymmetric unit holds Ba at (0.000, 0.000, 0.000), In at (0.500, 0.500, 0.000), Ni at (0.500, 0.500, 0.500) and Bi at (0.000, 0.500, 0.500).

The total moment is 0.00 μB/cell. As for the density of states at the Fermi level: 3.3 states/eV per cell. For the calculated formation energy, the calculation gives -0.2458 eV/atom. Its electronic total energy is -19.43 eV/f.u. The mass density comes out at 8.0 Mg/m³.

=====

Record 2
The following is a DFT calculation (PBE) of a geometry-optimized PmNiN structure.

The space group is Pmma (No. 51) and the conventional cell measures 5.568, 3.495 and 4.935 Å, with angles of 90.00, 90.00 and 90.00 degrees. The asymmetric unit holds Pm at (0.250, 0.000, 0.233), Ni at (0.250, 0.500, 0.748) and N at (0.000, 0.500, 0.000).

The total moment is 0.00 μB/cell. The relative energy among the computed polymorphs comes out at 0.000 eV per atom. As for the density of states at the Fermi level: 3.7 states/eV per cell. The raw formation energy comes out at -576 meV per atom. Its electronic total energy is -20.58 eV/f.u. The mass density comes out at 7.5 Mg/m³.

=====

Record 3
The following is a DFT calculation (PBE) of a geometry-optimized TiTcBr2 structure.

The space group is R-3m (No. 166, hexagonal axes) and the conventional cell measures 3.1851, 3.1851 and 25.9518 Å, with angles of 90.00, 90.00 and 120.00 degrees. The asymmetric unit holds Ti at (0.0000, 0.0000, 0.0000), Tc at (0.0000, 0.0000, 0.5000) and Br at (0.0000, 0.0000, 0.4039).

The total moment is 3.67 μB/cell. The relative energy among the computed polymorphs comes out at 0.000 eV per atom. As for the density of states at the Fermi level: 9.6 states/eV per cell. The raw formation energy comes out at 171 meV per atom. Its electronic total energy is -20.92 eV/f.u. The mass density comes out at 6.7 Mg/m³.

=====

Record 4
The following is a DFT calculation (PBE) of a geometry-optimized PuGaI6 structure.

The space group is R-3 (No. 148, hexagonal axes) and the conventional cell measures 7.4552, 7.4552 and 20.3207 Å, with angles of 90.00, 90.00 and 120.00 degrees. The asymmetric unit holds Pu at (0.0000, 0.0000, 0.0000), Ga at (0.0000, 0.0000, 0.5000) and I at (0.0039, 0.6848, 0.5807).

The total moment is 15.10 μB/cell. As for the density of states at the Fermi level: 39.3 states/eV per cell. The raw formation energy comes out at -623 meV per atom. Its electronic total energy is -31.65 eV/f.u. The mass density comes out at 5.5 Mg/m³.